# 1
Density functional theory data (PBE) for an optimized crystal structure of InHgPt2.

Cell lengths 5.378, 5.378, 5.378 Å; angles 136.37, 136.37, 63.42 degrees
Fractional positions:
In  0.750  0.250  0.500
Hg  0.500  0.500  0.000
Pt  0.250  0.750  0.500
Pt  0.000  0.000  0.000

* energy of formation from the pure elements: -0.13 eV per atom
* density of states at the Fermi level: 1.8 states/eV/cell

***

# 2
Density functional theory data (PBE) for an optimized crystal structure of InHgPt3.

Cell lengths 5.031, 5.031, 5.031 Å; angles 90.00, 90.00, 90.00 degrees
Fractional positions:
Pt  0.000  0.000  0.500
Pt  0.000  0.500  0.000
Pt  0.500  0.000  0.000
Hg  0.000  0.000  0.000
In  0.500  0.500  0.500

* energy of formation from the pure elements: 1.10 eV per atom
* density of states at the Fermi level: 6.4 states/eV/cell

***

# 3
Density functional theory data (PBE) for an optimized crystal structure of InHg2Pt.

Cell lengths 3.972, 3.972, 7.840 Å; angles 75.55, 75.55, 56.19 degrees
Fractional positions:
Hg  0.995  0.995  0.033
In  0.507  0.507  0.455
Hg  0.752  0.752  0.750
Pt  0.246  0.246  0.262

* energy of formation from the pure elements: -0.02 eV per atom
* density of states at the Fermi level: 0.9 states/eV/cell

***

# 4
Density functional theory data (PBE) for an optimized crystal structure of InHg2Pt2.

Cell lengths 8.296, 8.296, 2.954 Å; angles 90.00, 90.00, 90.00 degrees
Fractional positions:
In  0.500  0.500  0.000
In  0.000  0.000  0.000
Pt  0.332  0.168  0.500
Hg  0.630  0.130  0.000
Pt  0.168  0.668  0.500
Hg  0.130  0.370  0.000
Hg  0.870  0.630  0.000
Hg  0.370  0.870  0.000
Pt  0.668  0.832  0.500
Pt  0.832  0.332  0.500

* energy of formation from the pure elements: 0.06 eV per atom
* density of states at the Fermi level: 4.0 states/eV/cell

***

# 5
Density functional theory data (PBE) for an optimized crystal structure of InHg2Pt.

Cell lengths 3.043, 4.508, 7.333 Å; angles 72.29, 90.00, 90.00 degrees
Fractional positions:
In  0.000  0.506  0.614
Hg  0.500  0.195  0.236
Hg  0.000  0.809  0.006
Pt  0.500  0.990  0.645

* energy of formation from the pure elements: -0.11 eV per atom
* density of states at the Fermi level: 0.9 states/eV/cell

***

# 6
Density functional theory data (PBE) for an optimized crystal structure of InHg2Pt.

Cell lengths 5.231, 5.231, 5.231 Å; angles 129.88, 129.88, 73.60 degrees
Fractional positions:
In  0.500  0.500  0.000
Hg  0.000  0.000  0.000
Hg  0.250  0.750  0.500
Pt  0.750  0.250  0.500

* energy of formation from the pure elements: 0.06 eV per atom
* density of states at the Fermi level: 1.6 states/eV/cell